# Li4YEr

A geometry-optimized Li4YEr structure (PBE, Alexandria via LeMat-Bulk).

Output
Energy of formation: 0.116 eV per atom
Crystal system: cubic
Magnetization: 0.0 μB per formula unit

abc: 8.251 8.251 8.251
angles: 90.00 90.00 90.00
Space group F-43m (No. 216)
Asymmetric unit:
Li1 0.125 0.125 0.125 [16 per cell]
Y1 0.000 0.000 0.500 [4 per cell]
Er1 0.250 0.250 0.750 [4 per cell]